Here is a geometry-optimized Zr4ScAg structure from the Alexandria database. Energies are from PBE.

Calculated values
- DOS at the Fermi energy (states/eV per atom) = 1.312
- crystal system = cubic
- DFT total energy (eV per atom) = -6.93

abc: 8.228 8.228 8.228
angles: 90.00 90.00 90.00
Space group F-43m (No. 216)
One atom of each set of equivalent atoms:
Zr  0.123  0.123  0.377 (multiplicity 16)
Sc  0.250  0.250  0.750 (multiplicity 4)
Ag  0.000  0.000  0.000 (multiplicity 4)

Here is a geometry-optimized ZrScAg structure from the Alexandria database. Energies are from PBE.

Calculated values
- DOS at the Fermi energy (states/eV per atom) = 1.216
- crystal system = orthorhombic
- offset from the most stable computed form (meV/atom) = 19

abc: 4.607 12.176 4.588
angles: 90.00 90.00 90.00
Space group Cmcm (No. 63)
One atom of each set of equivalent atoms:
Zr  0.000  0.085  0.250 (multiplicity 4)
Sc  0.000  0.410  0.250 (multiplicity 4)
Ag  0.000  0.251  0.750 (multiplicity 4)

Here is a geometry-optimized Zr2ScAg structure from the Alexandria database. Energies are from PBE.

Calculated values
- DOS at the Fermi energy (states/eV per atom) = 1.287
- crystal system = orthorhombic
- offset from the most stable computed form (meV/atom) = 166

abc: 6.158 8.971 3.133
angles: 90.00 90.00 90.00
Space group Cmmm (No. 65)
One atom of each set of equivalent atoms:
Zr  0.250  0.250  0.000 (multiplicity 4)
Sc  0.000  0.000  0.500 (multiplicity 2)
Ag  0.000  0.500  0.500 (multiplicity 2)

Here is a geometry-optimized ZrSc2Ag structure from the Alexandria database. Energies are from PBE.

Calculated values
- DOS at the Fermi energy (states/eV per atom) = 1.676
- crystal system = tetragonal
- offset from the most stable computed form (meV/atom) = 155

abc: 4.486 4.486 4.301
angles: 90.00 90.00 90.00
Space group P4/mmm (No. 123)
One atom of each set of equivalent atoms:
Zr  0.000  0.000  0.000 (multiplicity 1)
Sc  0.000  0.500  0.500 (multiplicity 2)
Ag  0.500  0.500  0.000 (multiplicity 1)

Here is a geometry-optimized ZrScAg2 structure from the Alexandria database. Energies are from PBE.

Calculated values
- DOS at the Fermi energy (states/eV per atom) = 1.122
- crystal system = tetragonal
- offset from the most stable computed form (meV/atom) = 43

abc: 4.934 4.934 3.359
angles: 90.00 90.00 90.00
Space group P4/mmm (No. 123)
One atom of each set of equivalent atoms:
Zr  0.000  0.000  0.000 (multiplicity 1)
Sc  0.500  0.500  0.000 (multiplicity 1)
Ag  0.000  0.500  0.500 (multiplicity 2)

Here is a geometry-optimized ZrSc2Ag structure from the Alexandria database. Energies are from PBE.

Calculated values
- DOS at the Fermi energy (states/eV per atom) = 1.722
- crystal system = tetragonal
- offset from the most stable computed form (meV/atom) = 173

abc: 4.277 4.277 9.469
angles: 90.00 90.00 90.00
Space group I-4m2 (No. 119)
One atom of each set of equivalent atoms:
Zr  0.000  0.000  0.000 (multiplicity 2)
Sc  0.000  0.000  0.500 (multiplicity 2)
Sc  0.000  0.500  0.250 (multiplicity 2)
Ag  0.000  0.500  0.750 (multiplicity 2)

Here is a geometry-optimized ZrScAg structure from the Alexandria database. Energies are from PBE.

Calculated values
- DOS at the Fermi energy (states/eV per atom) = 1.035
- crystal system = hexagonal
- offset from the most stable computed form (meV/atom) = 399

abc: 4.9883 4.9883 5.7338
angles: 90.00 90.00 120.00
Space group P6_3/mmc (No. 194)
One atom of each set of equivalent atoms:
Zr  0.3333  0.6667  0.2500 (multiplicity 2)
Sc  0.3333  0.6667  0.7500 (multiplicity 2)
Ag  0.0000  0.0000  0.0000 (multiplicity 2)

Here is a geometry-optimized ZrSc2Ag structure from the Alexandria database. Energies are from PBE.

Calculated values
- DOS at the Fermi energy (states/eV per atom) = 0.804
- crystal system = orthorhombic
- offset from the most stable computed form (meV/atom) = 78

abc: 3.411 4.930 10.439
angles: 90.00 90.00 90.00
Space group Imm2 (No. 44)
One atom of each set of equivalent atoms:
Zr  0.000  0.000  0.000 (multiplicity 2)
Sc  0.000  0.000  0.543 (multiplicity 2)
Sc  0.000  0.500  0.767 (multiplicity 2)
Ag  0.000  0.500  0.266 (multiplicity 2)

Here is a geometry-optimized ZrSc2Ag structure from the Alexandria database. Energies are from PBE.

Calculated values
- DOS at the Fermi energy (states/eV per atom) = 1.624
- crystal system = tetragonal
- offset from the most stable computed form (meV/atom) = 198

abc: 4.418 4.418 8.923
angles: 90.00 90.00 90.00
Space group I4/mmm (No. 139)
One atom of each set of equivalent atoms:
Zr  0.000  0.000  0.000 (multiplicity 2)
Sc  0.000  0.500  0.250 (multiplicity 4)
Ag  0.000  0.000  0.500 (multiplicity 2)

Here is a geometry-optimized ZrScAg2 structure from the Alexandria database. Energies are from PBE.

Calculated values
- DOS at the Fermi energy (states/eV per atom) = 1.015
- crystal system = tetragonal
- offset from the most stable computed form (meV/atom) = 407

abc: 7.768 7.768 5.679
angles: 90.00 90.00 90.00
Space group I-42d (No. 122)
One atom of each set of equivalent atoms:
Zr  0.000  0.000  0.000 (multiplicity 4)
Sc  0.000  0.000  0.500 (multiplicity 4)
Ag  0.245  0.750  0.625 (multiplicity 8)

Here is a geometry-optimized ZrScAg structure from the Alexandria database. Energies are from PBE.

Calculated values
- DOS at the Fermi energy (states/eV per atom) = 1.254
- crystal system = tetragonal
- offset from the most stable computed form (meV/atom) = 43

abc: 3.382 3.382 11.166
angles: 90.00 90.00 90.00
Space group P4/nmm (No. 129, origin choice 2)
One atom of each set of equivalent atoms:
Zr  0.250  0.250  0.094 (multiplicity 2)
Sc  0.250  0.250  0.720 (multiplicity 2)
Ag  0.250  0.250  0.427 (multiplicity 2)

Here is a geometry-optimized ZrSc2Ag structure from the Alexandria database. Energies are from PBE.

Calculated values
- DOS at the Fermi energy (states/eV per atom) = 1.446
- crystal system = trigonal
- offset from the most stable computed form (meV/atom) = 187

abc: 3.1774 3.1774 30.6175
angles: 90.00 90.00 120.00
Space group R3m (No. 160, hexagonal axes)
One atom of each set of equivalent atoms:
Zr  0.0000  0.0000  0.0000 (multiplicity 3)
Sc  0.0000  0.0000  0.2496 (multiplicity 3)
Sc  0.0000  0.0000  0.4920 (multiplicity 3)
Ag  0.0000  0.0000  0.7479 (multiplicity 3)

Here is a geometry-optimized ZrScAg structure from the Alexandria database. Energies are from PBE.

Calculated values
- DOS at the Fermi energy (states/eV per atom) = 1.240
- crystal system = trigonal
- offset from the most stable computed form (meV/atom) = 170

abc: 3.1777 3.1777 7.4125
angles: 90.00 90.00 120.00
Space group P3m1 (No. 156)
One atom of each set of equivalent atoms:
Zr  0.0000  0.0000  0.0000 (multiplicity 1)
Sc  0.3333  0.6667  0.6595 (multiplicity 1)
Ag  0.6667  0.3333  0.3342 (multiplicity 1)

Here is a geometry-optimized Zr2ScAg structure from the Alexandria database. Energies are from PBE.

Calculated values
- DOS at the Fermi energy (states/eV per atom) = 1.174
- crystal system = orthorhombic
- offset from the most stable computed form (meV/atom) = 113

abc: 3.246 4.976 5.333
angles: 90.00 90.00 90.00
Space group Pmmm (No. 47)
One atom of each set of equivalent atoms:
Zr  0.000  0.000  0.000 (multiplicity 1)
Zr  0.500  0.500  0.000 (multiplicity 1)
Sc  0.000  0.500  0.500 (multiplicity 1)
Ag  0.500  0.000  0.500 (multiplicity 1)

Here is a geometry-optimized ZrScAg2 structure from the Alexandria database. Energies are from PBE.

Calculated values
- DOS at the Fermi energy (states/eV per atom) = 0.877
- crystal system = monoclinic
- offset from the most stable computed form (meV/atom) = 193

abc: 9.673 2.959 5.844
angles: 90.00 97.70 90.00
Space group C2/m (No. 12)
One atom of each set of equivalent atoms:
Zr  0.000  0.000  0.000 (multiplicity 2)
Sc  0.000  0.500  0.500 (multiplicity 2)
Ag  0.249  0.000  0.744 (multiplicity 4)

Here is a geometry-optimized ZrSc2Ag structure from the Alexandria database. Energies are from PBE.

Calculated values
- DOS at the Fermi energy (states/eV per atom) = 1.448
- crystal system = trigonal
- offset from the most stable computed form (meV/atom) = 137

abc: 3.2715 3.2715 29.1723
angles: 90.00 90.00 120.00
Space group R3m (No. 160, hexagonal axes)
One atom of each set of equivalent atoms:
Zr  0.0000  0.0000  0.0000 (multiplicity 3)
Sc  0.0000  0.0000  0.5796 (multiplicity 3)
Sc  0.0000  0.0000  0.7535 (multiplicity 3)
Ag  0.0000  0.0000  0.1661 (multiplicity 3)

Here is a geometry-optimized ZrScAg2 structure from the Alexandria database. Energies are from PBE.

Calculated values
- DOS at the Fermi energy (states/eV per atom) = 0.846
- crystal system = tetragonal
- offset from the most stable computed form (meV/atom) = 0

abc: 3.492 3.492 6.672
angles: 90.00 90.00 90.00
Space group P4mm (No. 99)
One atom of each set of equivalent atoms:
Zr  0.000  0.000  0.000 (multiplicity 1)
Sc  0.500  0.500  0.712 (multiplicity 1)
Ag  0.000  0.000  0.477 (multiplicity 1)
Ag  0.500  0.500  0.244 (multiplicity 1)

Here is a geometry-optimized ZrScAg2 structure from the Alexandria database. Energies are from PBE.

Calculated values
- DOS at the Fermi energy (states/eV per atom) = 1.450
- crystal system = orthorhombic
- offset from the most stable computed form (meV/atom) = 124

abc: 3.359 4.851 10.076
angles: 90.00 90.00 90.00
Space group Imm2 (No. 44)
One atom of each set of equivalent atoms:
Zr  0.000  0.000  0.000 (multiplicity 2)
Sc  0.000  0.500  0.765 (multiplicity 2)
Ag  0.000  0.000  0.518 (multiplicity 2)
Ag  0.000  0.500  0.248 (multiplicity 2)

Here is a geometry-optimized ZrScAg2 structure from the Alexandria database. Energies are from PBE.

Calculated values
- DOS at the Fermi energy (states/eV per atom) = 1.267
- crystal system = trigonal
- offset from the most stable computed form (meV/atom) = 190

abc: 3.1232 3.1232 29.1774
angles: 90.00 90.00 120.00
Space group R-3m (No. 166, hexagonal axes)
One atom of each set of equivalent atoms:
Zr  0.0000  0.0000  0.0000 (multiplicity 3)
Sc  0.0000  0.0000  0.5000 (multiplicity 3)
Ag  0.0000  0.0000  0.2479 (multiplicity 6)

Here is a geometry-optimized ZrScAg4 structure from the Alexandria database. Energies are from PBE.

Calculated values
- DOS at the Fermi energy (states/eV per atom) = 0.419
- crystal system = tetragonal
- offset from the most stable computed form (meV/atom) = 0

abc: 3.566 3.566 9.045
angles: 90.00 90.00 90.00
Space group P4/mmm (No. 123)
One atom of each set of equivalent atoms:
Zr  0.000  0.000  0.000 (multiplicity 1)
Sc  0.500  0.500  0.500 (multiplicity 1)
Ag  0.000  0.000  0.334 (multiplicity 2)
Ag  0.500  0.500  0.172 (multiplicity 2)

Here is a geometry-optimized Zr2ScAg structure from the Alexandria database. Energies are from PBE.

Calculated values
- DOS at the Fermi energy (states/eV per atom) = 1.504
- crystal system = tetragonal
- offset from the most stable computed form (meV/atom) = 150

abc: 4.376 4.376 8.988
angles: 90.00 90.00 90.00
Space group I-4m2 (No. 119)
One atom of each set of equivalent atoms:
Zr  0.000  0.000  0.000 (multiplicity 2)
Zr  0.000  0.500  0.250 (multiplicity 2)
Sc  0.000  0.000  0.500 (multiplicity 2)
Ag  0.000  0.500  0.750 (multiplicity 2)

Here is a geometry-optimized ZrScAg structure from the Alexandria database. Energies are from PBE.

Calculated values
- DOS at the Fermi energy (states/eV per atom) = 0.845
- crystal system = monoclinic
- offset from the most stable computed form (meV/atom) = 0

abc: 3.241 4.948 8.121
angles: 90.00 101.47 90.00
Space group P2_1/m (No. 11)
One atom of each set of equivalent atoms:
Zr  0.226  0.250  0.450 (multiplicity 2)
Sc  0.097  0.750  0.194 (multiplicity 2)
Ag  0.439  0.750  0.879 (multiplicity 2)

Here is a geometry-optimized ZrSc2Ag structure from the Alexandria database. Energies are from PBE.

Calculated values
- DOS at the Fermi energy (states/eV per atom) = 1.166
- crystal system = trigonal
- offset from the most stable computed form (meV/atom) = 126

abc: 3.2179 3.2179 29.7123
angles: 90.00 90.00 120.00
Space group R-3m (No. 166, hexagonal axes)
One atom of each set of equivalent atoms:
Zr  0.0000  0.0000  0.0000 (multiplicity 3)
Sc  0.0000  0.0000  0.2467 (multiplicity 6)
Ag  0.0000  0.0000  0.5000 (multiplicity 3)

Here is a geometry-optimized ZrScAg structure from the Alexandria database. Energies are from PBE.

Calculated values
- DOS at the Fermi energy (states/eV per atom) = 0.535
- crystal system = monoclinic
- offset from the most stable computed form (meV/atom) = 72

abc: 11.343 3.236 8.300
angles: 90.00 121.53 90.00
Space group Cm (No. 8)
One atom of each set of equivalent atoms:
Zr  0.000  0.000  0.000 (multiplicity 2)
Zr  0.217  0.500  0.364 (multiplicity 2)
Sc  0.167  0.000  0.660 (multiplicity 2)
Sc  0.429  0.000  0.279 (multiplicity 2)
Ag  0.219  0.500  0.983 (multiplicity 2)
Ag  0.443  0.000  0.660 (multiplicity 2)

Here is a geometry-optimized AgSe2 structure from the Alexandria database. Energies are from PBE.

Calculated values
- DOS at the Fermi energy (states/eV per atom) = 0.643
- crystal system = orthorhombic
- E_form (uncorrected) (eV per atom) = 0.21

abc: 3.542 16.367 4.690
angles: 90.00 90.00 90.00
Space group Cmcm (No. 63)
One atom of each set of equivalent atoms:
Ag  0.000  0.112  0.250 (multiplicity 4)
Se  0.000  0.259  0.750 (multiplicity 4)
Se  0.000  0.470  0.250 (multiplicity 4)